Entry 1:
Fe2RhCl | GGA-PBE | relaxed

Cell: 2.834 2.834 8.201 Å, 90.00 90.00 115.82°
Fractional positions:
Fe (0.000, 0.000, 0.003)
Fe (0.500, 0.500, 0.239)
Cl (0.500, 0.500, 0.782)
Rh (0.000, 0.000, 0.476)

Properties
The calculation puts the total DFT energy (no corrections) at -6.26 eV per atom. The symmetry is Cmm2. The value obtained for the uncorrected formation energy is 270 meV/atom.


Entry 2:
FeRhCl4 | GGA-PBE | relaxed

Cell: 5.664 5.664 5.664 Å, 60.00 60.00 60.00°
Fractional positions:
Cl (0.375, 0.875, 0.375)
Cl (0.875, 0.375, 0.375)
Cl (0.375, 0.375, 0.875)
Fe (0.750, 0.750, 0.750)
Rh (0.000, 0.000, 0.000)
Cl (0.375, 0.375, 0.375)

Properties
The calculation puts the total DFT energy (no corrections) at -2.64 eV per atom. The symmetry is F-43m. The value obtained for the uncorrected formation energy is 1226 meV/atom.


Entry 3:
FeRhCl2 | GGA-PBE | relaxed

Cell: 3.363 3.363 8.097 Å, 89.44 89.44 60.00°
Fractional positions:
Fe (0.460, 0.460, 0.281)
Rh (0.123, 0.123, 0.472)
Cl (0.129, 0.129, 0.089)
Cl (0.787, 0.787, 0.658)

Properties
The calculation puts the total DFT energy (no corrections) at -5.08 eV per atom. The symmetry is Cm. The value obtained for the uncorrected formation energy is -203 meV/atom.


Entry 4:
FeRhCl3 | GGA-PBE | relaxed

Cell: 4.791 4.791 4.791 Å, 90.00 90.00 90.00°
Fractional positions:
Rh (0.000, 0.000, 0.000)
Cl (0.000, 0.000, 0.500)
Cl (0.500, 0.000, 0.000)
Cl (0.000, 0.500, 0.000)
Fe (0.500, 0.500, 0.500)

Properties
The calculation puts the total DFT energy (no corrections) at -3.99 eV per atom. The symmetry is Pm-3m. The value obtained for the uncorrected formation energy is 277 meV/atom.


Entry 5:
FeRhSCl2 | GGA-PBE | relaxed

Cell: 4.783 4.783 4.622 Å, 90.00 90.00 90.00°
Fractional positions:
Cl (0.500, 0.000, 0.000)
S (0.000, 0.000, 0.500)
Cl (0.000, 0.500, 0.000)
Fe (0.500, 0.500, 0.500)
Rh (0.000, 0.000, 0.000)

Properties
The calculation puts the total DFT energy (no corrections) at -4.33 eV per atom. The symmetry is P4/mmm. The value obtained for the uncorrected formation energy is 401 meV/atom.


Entry 6:
Fe2RhSCl | GGA-PBE | relaxed

Cell: 4.272 4.532 4.272 Å, 90.00 90.00 90.00°
Fractional positions:
Fe (0.500, 0.000, 0.000)
Rh (0.000, 0.500, 0.000)
S (0.500, 0.500, 0.500)
Cl (0.000, 0.000, 0.000)
Fe (0.000, 0.000, 0.500)

Properties
The calculation puts the total DFT energy (no corrections) at -5.18 eV per atom. The symmetry is P4/mmm. The value obtained for the uncorrected formation energy is 869 meV/atom.